[1]
First-principles (PBE) data for crystalline Tm3BeSe6 at its relaxed geometry, as listed in Alexandria.

a = 6.238 Å, b = 8.997 Å, c = 8.997 Å
α = 102.20°, β = 90.00°, γ = 90.00°
Positions (direct):
Se (0.182, 0.097, 0.575)
Se (0.158, 0.047, 0.953)
Se (0.182, 0.425, 0.903)
Se (0.685, 0.218, 0.782)
Se (0.695, 0.325, 0.355)
Be (0.037, 0.198, 0.802)
Se (0.695, 0.645, 0.675)
Tm (0.400, 0.375, 0.625)
Tm (0.475, 0.279, 0.064)
Be (0.537, 0.802, 0.198)
Se (0.195, 0.355, 0.325)
Se (0.682, 0.903, 0.425)
Tm (0.900, 0.625, 0.375)
Se (0.658, 0.953, 0.047)
Tm (0.975, 0.721, 0.936)
Se (0.195, 0.675, 0.645)
Se (0.682, 0.575, 0.097)
Se (0.185, 0.782, 0.218)
Tm (0.975, 0.064, 0.279)
Tm (0.475, 0.936, 0.721)

Results
Formation energy without anion corrections, eV/atom: -1.46
Raw total energy, eV/atom: -5.267
DOS(E_F), states/eV/cell: 3.46

[2]
First-principles (PBE) data for crystalline VCo2B at its relaxed geometry, as listed in Alexandria.

a = 3.266 Å, b = 3.475 Å, c = 3.475 Å
α = 90.00°, β = 90.00°, γ = 90.00°
Positions (direct):
V (0.500, 0.000, 0.000)
Co (0.000, 0.500, 0.000)
B (0.500, 0.500, 0.500)
Co (0.000, 0.000, 0.500)

Results
Raw total energy, eV/atom: -7.483
DFT formation energy, kJ per mole of atoms: 2
DOS(E_F), states/eV/cell: 4.87

[3]
First-principles (PBE) data for crystalline La4SiAsS2 at its relaxed geometry, as listed in Alexandria.

a = 4.299 Å, b = 7.386 Å, c = 7.452 Å
α = 70.39°, β = 90.00°, γ = 90.00°
Positions (direct):
La (0.000, 0.750, 0.748)
La (0.000, 0.250, 0.252)
S (0.500, 0.000, 0.500)
As (0.500, 0.500, 0.000)
La (0.500, 0.250, 0.748)
Si (0.000, 0.500, 0.500)
S (0.000, 0.000, 0.000)
La (0.500, 0.750, 0.252)

Results
Formation energy without anion corrections, eV/atom: -1.66
Raw total energy, eV/atom: -6.414
DOS(E_F), states/eV/cell: 2.00

[4]
First-principles (PBE) data for crystalline Sc4Tl2Hg at its relaxed geometry, as listed in Alexandria.

a = 4.958 Å, b = 4.958 Å, c = 8.630 Å
α = 73.31°, β = 73.31°, γ = 60.00°
Site moments in Bohr magnetons follow the coordinates.
Positions (direct):
Sc (0.126, 0.126, 0.622)  0.08
Hg (0.000, 0.000, 0.000)  0.01
Sc (0.874, 0.874, 0.378)  0.08
Tl (0.246, 0.246, 0.262)  0.00
Tl (0.754, 0.754, 0.738)  0.00
Sc (0.377, 0.377, 0.868)  0.11
Sc (0.623, 0.623, 0.132)  0.11

Results
Raw total energy, eV/atom: -4.528
DFT formation energy, kJ per mole of atoms: -18
DOS(E_F), states/eV/cell: 8.23

[5]
First-principles (PBE) data for crystalline Hf2In2H at its relaxed geometry, as listed in Alexandria.

a = 3.257 Å, b = 5.873 Å, c = 10.784 Å
α = 68.27°, β = 81.31°, γ = 73.90°
Positions (direct):
Hf (0.892, 0.813, 0.402)
In (0.941, 0.237, 0.881)
H (0.643, 0.025, 0.688)
Hf (0.676, 0.777, 0.871)
In (0.059, 0.763, 0.119)
In (0.359, 0.623, 0.659)
Hf (0.108, 0.187, 0.598)
Hf (0.324, 0.223, 0.129)
In (0.641, 0.377, 0.341)
H (0.357, 0.975, 0.312)

Results
Raw total energy, eV/atom: -5.933
DOS(E_F), states/eV/cell: 5.35

[6]
First-principles (PBE) data for crystalline Cr4Ir5Rh4 at its relaxed geometry, as listed in Alexandria.

a = 3.811 Å, b = 7.115 Å, c = 7.115 Å
α = 85.89°, β = 74.47°, γ = 74.47°
Site moments in Bohr magnetons follow the coordinates.
Positions (direct):
Ir (0.455, 0.239, 0.852)  -0.17
Cr (0.853, 0.917, 0.377)  1.65
Cr (0.230, 0.623, 0.917)  1.65
Rh (0.619, 0.297, 0.466)  -0.13
Ir (0.307, 0.148, 0.239)  -0.17
Ir (0.000, 0.000, 0.000)  -0.16
Ir (0.545, 0.761, 0.148)  -0.17
Cr (0.770, 0.377, 0.083)  1.65
Cr (0.147, 0.083, 0.623)  1.65
Rh (0.915, 0.466, 0.703)  -0.13
Rh (0.085, 0.534, 0.297)  -0.13
Rh (0.381, 0.703, 0.534)  -0.13
Ir (0.693, 0.852, 0.761)  -0.17

Results
Raw total energy, eV/atom: -8.770
DFT formation energy, kJ per mole of atoms: -13
DOS(E_F), states/eV/cell: 13.13

[7]
First-principles (PBE) data for crystalline LiHgPt2 at its relaxed geometry, as listed in Alexandria.

a = 4.846 Å, b = 4.846 Å, c = 4.846 Å
α = 130.02°, β = 130.01°, γ = 73.38°
Positions (direct):
Hg (0.500, 0.500, 0.000)
Pt (0.250, 0.750, 0.500)
Pt (0.000, 0.000, 0.000)
Li (0.750, 0.250, 0.500)

Results
Raw total energy, eV/atom: -3.825
DFT formation energy, kJ per mole of atoms: -24
DOS(E_F), states/eV/cell: 2.79

[8]
First-principles (PBE) data for crystalline BaScMo2 at its relaxed geometry, as listed in Alexandria.

a = 3.391 Å, b = 4.896 Å, c = 5.038 Å
α = 90.00°, β = 90.00°, γ = 90.00°
Positions (direct):
Mo (0.000, 0.000, 0.000)
Sc (0.500, 0.000, 0.500)
Ba (0.000, 0.500, 0.500)
Mo (0.500, 0.500, 0.000)

Results
Raw total energy, eV/atom: -6.373
DFT formation energy, kJ per mole of atoms: 107
DOS(E_F), states/eV/cell: 5.50

[9]
First-principles (PBE) data for crystalline CsLa3Si at its relaxed geometry, as listed in Alexandria.

a = 5.968 Å, b = 5.968 Å, c = 5.968 Å
α = 90.00°, β = 90.00°, γ = 90.00°
Positions (direct):
La (0.500, 0.000, 0.000)
Si (0.000, 0.000, 0.000)
La (0.000, 0.000, 0.500)
Cs (0.500, 0.500, 0.500)
La (0.000, 0.500, 0.000)

Results
Formation energy without anion corrections, eV/atom: 0.12
Raw total energy, eV/atom: -4.092
DOS(E_F), states/eV/cell: 8.41

[10]
First-principles (PBE) data for crystalline CaMg2Sc2 at its relaxed geometry, as listed in Alexandria.

a = 8.883 Å, b = 8.883 Å, c = 3.371 Å
α = 90.00°, β = 90.00°, γ = 90.00°
Site moments in Bohr magnetons follow the coordinates.
Positions (direct):
Sc (0.622, 0.122, 0.000)  0.17
Mg (0.172, 0.672, 0.500)  0.00
Sc (0.122, 0.378, 0.000)  0.15
Ca (0.500, 0.500, 0.000)  0.01
Ca (0.000, 0.000, 0.000)  0.01
Sc (0.378, 0.878, 0.000)  0.17
Sc (0.878, 0.622, 0.000)  0.15
Mg (0.828, 0.328, 0.500)  0.00
Mg (0.328, 0.172, 0.500)  0.00
Mg (0.672, 0.828, 0.500)  0.00

Results
Raw total energy, eV/atom: -3.516
DFT formation energy, kJ per mole of atoms: 5
DOS(E_F), states/eV/cell: 8.99

[11]
First-principles (PBE) data for crystalline YMg14Cd at its relaxed geometry, as listed in Alexandria.

a = 6.486 Å, b = 6.486 Å, c = 10.313 Å
α = 90.00°, β = 90.00°, γ = 120.00°
Positions (direct):
Mg (0.166, 0.332, 0.745)
Cd (0.000, 0.000, 0.500)
Mg (0.668, 0.834, 0.255)
Y (0.000, 0.000, 0.000)
Mg (0.494, 0.988, 0.000)
Mg (0.166, 0.834, 0.745)
Mg (0.503, 0.497, 0.500)
Mg (0.993, 0.497, 0.500)
Mg (0.166, 0.834, 0.255)
Mg (0.503, 0.007, 0.500)
Mg (0.667, 0.333, 0.237)
Mg (0.667, 0.333, 0.763)
Mg (0.012, 0.506, 0.000)
Mg (0.668, 0.834, 0.745)
Mg (0.166, 0.332, 0.255)
Mg (0.494, 0.506, 0.000)

Results
Raw total energy, eV/atom: -1.881
DFT formation energy, kJ per mole of atoms: -2
DOS(E_F), states/eV/cell: 8.10

[12]
First-principles (PBE) data for crystalline Ba5GaHg4 at its relaxed geometry, as listed in Alexandria.

a = 4.189 Å, b = 4.189 Å, c = 20.946 Å
α = 90.00°, β = 90.00°, γ = 90.00°
Positions (direct):
Ba (0.500, 0.500, 0.095)
Hg (0.000, 0.000, 0.803)
Hg (0.000, 0.000, 0.197)
Hg (0.000, 0.000, 0.600)
Ba (0.500, 0.500, 0.905)
Ba (0.500, 0.500, 0.298)
Ba (0.500, 0.500, 0.702)
Ba (0.500, 0.500, 0.500)
Hg (0.000, 0.000, 0.400)
Ga (0.000, 0.000, 0.000)

Results
Raw total energy, eV/atom: -1.869
DFT formation energy, kJ per mole of atoms: -47
DOS(E_F), states/eV/cell: 5.91